## NaGe2As2 (GGA-PBE)

Data for crystalline NaGe2As2 at its relaxed geometry.

## Properties
The calculation puts the calculated formation energy at -0.046 eV per atom. The total magnetization is 0.00 μB per atom. The value obtained for the raw total energy is -4.02 eV per atom.

Cell lengths 5.648, 5.648, 5.648 Å; angles 127.36, 127.36, 77.66 degrees
Element x y z (fractional)
Na1 0.000 0.000 0.000
Ge1 0.353 0.353 0.000
Ge2 0.647 0.647 0.000
As1 0.250 0.750 0.500
As2 0.750 0.250 0.500